# 1
A relaxed structure of LaPrMg6, computed with PBE. Values from VASP.

Values from the calculation:
magnetic moment	0.00	μB per formula unit
ΔH_f (0 K)	-0.101	eV per atom
energy	-2.5101	eV/atom

Quantum ESPRESSO input file:
```
&SYSTEM
  ibrav = 0, nat = 8, ntyp = 3
/
ATOMIC_SPECIES
La 138.91 La.upf
Pr 140.91 Pr.upf
Mg 24.30 Mg.upf
ATOMIC_POSITIONS angstrom
La 0.000 0.000 0.000
Pr 2.625 0.000 3.969
Mg 0.000 0.000 6.018
Mg 0.000 -1.669 8.922
Mg 0.000 1.669 8.922
Mg 2.625 -1.656 6.993
Mg 2.625 1.656 6.993
Mg 2.625 0.000 9.874
CELL_PARAMETERS angstrom
5.250 0.000 0.000
0.000 3.449 5.970
0.000 -3.449 5.970
```



# 2
A relaxed structure of LaPr8Mg2, computed with PBE. Values from VASP.

Values from the calculation:
magnetic moment	0.00	μB per formula unit
energy relative to the lowest polymorph listed for this composition	0.00	eV/f.u.
ΔH_f (0 K)	0.004	eV per atom
energy	-4.2095	eV/atom

Quantum ESPRESSO input file:
```
&SYSTEM
  ibrav = 0, nat = 11, ntyp = 3
/
ATOMIC_SPECIES
La 138.91 La.upf
Pr 140.91 Pr.upf
Mg 24.30 Mg.upf
ATOMIC_POSITIONS angstrom
La 0.000 0.000 0.000
Pr 0.233 0.000 3.703
Pr 0.208 0.000 7.513
Pr 3.630 0.000 6.293
Pr 7.046 0.000 2.094
Pr 7.303 0.000 5.815
Pr 10.719 0.000 1.616
Pr 14.141 0.000 0.397
Pr 14.116 0.000 4.206
Mg 3.634 0.000 2.919
Mg 10.715 0.000 4.991
CELL_PARAMETERS angstrom
8.789 -2.709 0.000
8.789 2.709 0.000
-3.229 0.000 7.909
```



# 3
A relaxed structure of LaPr2Mg3, computed with PBE. Values from VASP.

Values from the calculation:
magnetic moment	0.00	μB per formula unit
ΔH_f (0 K)	-0.114	eV per atom
energy	-3.3260	eV/atom

Quantum ESPRESSO input file:
```
&SYSTEM
  ibrav = 0, nat = 6, ntyp = 3
/
ATOMIC_SPECIES
La 138.91 La.upf
Pr 140.91 Pr.upf
Mg 24.30 Mg.upf
ATOMIC_POSITIONS angstrom
La 0.000 0.000 0.000
Pr 0.000 0.000 3.952
Pr 0.000 0.000 7.856
Mg 1.965 1.965 2.015
Mg 1.965 1.965 5.904
Mg 1.965 1.965 9.792
CELL_PARAMETERS angstrom
3.930 0.000 0.000
0.000 3.930 0.000
0.000 0.000 11.808
```



# 4
A relaxed structure of La4Pr5Mg, computed with PBE. Values from VASP.

Values from the calculation:
magnetic moment	0.00	μB per formula unit
ΔH_f (0 K)	-0.014	eV per atom
energy	-4.5344	eV/atom

Quantum ESPRESSO input file:
```
&SYSTEM
  ibrav = 0, nat = 10, ntyp = 3
/
ATOMIC_SPECIES
La 138.91 La.upf
Pr 140.91 Pr.upf
Mg 24.30 Mg.upf
ATOMIC_POSITIONS angstrom
La 0.000 0.000 2.595
La 0.000 0.000 7.799
La 0.000 0.000 17.142
La 0.000 0.000 22.347
Pr 1.882 1.882 0.000
Pr 1.882 1.882 5.194
Pr 1.882 1.882 10.348
Pr 1.882 1.882 14.594
Pr 1.882 1.882 19.748
Mg 0.000 0.000 12.471
CELL_PARAMETERS angstrom
3.764 0.000 0.000
0.000 3.764 0.000
0.000 0.000 24.941
```



no.,DOS at the Fermi energy (states/eV/f.u.)
1,8.60
2,15.68
3,6.95
4,13.64